VASP calculation (PBE) on PmHCl after structural relaxation.

CIF file:
```
data_PmHCl
_symmetry_space_group_name_H-M 'P 1'
_symmetry_Int_Tables_number 1
_cell_length_a 6.922
_cell_length_b 6.922
_cell_length_c 6.922
_cell_angle_alpha 143.80
_cell_angle_beta 143.80
_cell_angle_gamma 52.13
loop_
_symmetry_equiv_pos_as_xyz
'x,y,z'
loop_
_atom_site_label
_atom_site_fract_x
_atom_site_fract_y
_atom_site_fract_z
Pm1 0.151 0.151 0.000
Pm2 0.849 0.849 0.000
H1 0.250 0.750 0.500
H2 0.750 0.250 0.500
Cl1 0.000 0.500 0.500
Cl2 0.500 0.000 0.500
```

Values from the calculation:
Density of states at the Fermi level, states/eV/f.u.: 1.19
Relative energy among the computed polymorphs, meV/atom: 259


VASP calculation (PBE) on Na2La2PaSe6 after structural relaxation.

CIF file:
```
data_Na2La2PaSe6
_symmetry_space_group_name_H-M 'P 1'
_symmetry_Int_Tables_number 1
_cell_length_a 7.489
_cell_length_b 7.489
_cell_length_c 7.396
_cell_angle_alpha 99.73
_cell_angle_beta 99.73
_cell_angle_gamma 119.36
loop_
_symmetry_equiv_pos_as_xyz
'x,y,z'
loop_
_atom_site_label
_atom_site_fract_x
_atom_site_fract_y
_atom_site_fract_z
Na1 0.168 0.832 0.000
Na2 0.832 0.168 0.000
La1 0.335 0.665 0.500
La2 0.665 0.335 0.500
Pa1 0.000 0.000 0.500
Se1 0.072 0.395 0.729
Se2 0.238 0.238 0.271
Se3 0.395 0.072 0.729
Se4 0.605 0.928 0.271
Se5 0.762 0.762 0.729
Se6 0.928 0.605 0.271
```

Values from the calculation:
Density of states at the Fermi level, states/eV/f.u.: 1.48
Formation energy (no corrections), eV/atom: -1.63


VASP calculation (PBE) on BaAcGa after structural relaxation.

CIF file:
```
data_BaAcGa
_symmetry_space_group_name_H-M 'P 1'
_symmetry_Int_Tables_number 1
_cell_length_a 12.258
_cell_length_b 12.258
_cell_length_c 4.393
_cell_angle_alpha 90.00
_cell_angle_beta 90.00
_cell_angle_gamma 157.91
loop_
_symmetry_equiv_pos_as_xyz
'x,y,z'
loop_
_atom_site_label
_atom_site_fract_x
_atom_site_fract_y
_atom_site_fract_z
Ba1 0.184 0.816 0.750
Ba2 0.816 0.184 0.250
Ac1 0.431 0.569 0.750
Ac2 0.569 0.431 0.250
Ga1 0.033 0.967 0.750
Ga2 0.967 0.033 0.250
```

Values from the calculation:
Formation enthalpy at 0 K, eV per atom: -0.30
Density of states at the Fermi level, states/eV/f.u.: 3.92
Relative energy among the computed polymorphs, meV/atom: 0


VASP calculation (PBE) on RbLi2Ir after structural relaxation.

CIF file:
```
data_RbLi2Ir
_symmetry_space_group_name_H-M 'P 1'
_symmetry_Int_Tables_number 1
_cell_length_a 4.841
_cell_length_b 4.841
_cell_length_c 4.841
_cell_angle_alpha 60.00
_cell_angle_beta 60.00
_cell_angle_gamma 60.00
loop_
_symmetry_equiv_pos_as_xyz
'x,y,z'
loop_
_atom_site_label
_atom_site_fract_x
_atom_site_fract_y
_atom_site_fract_z
Rb1 0.000 0.000 0.000
Li1 0.250 0.250 0.250
Li2 0.750 0.750 0.750
Ir1 0.500 0.500 0.500
```

Values from the calculation:
Formation enthalpy at 0 K, eV per atom: 0.53
Density of states at the Fermi level, states/eV/f.u.: 1.40
Relative energy among the computed polymorphs, meV/atom: 0


VASP calculation (PBE) on CeEr3Ru2 after structural relaxation.

CIF file:
```
data_CeEr3Ru2
_symmetry_space_group_name_H-M 'P 1'
_symmetry_Int_Tables_number 1
_cell_length_a 6.785
_cell_length_b 6.785
_cell_length_c 6.223
_cell_angle_alpha 90.00
_cell_angle_beta 90.00
_cell_angle_gamma 93.43
loop_
_symmetry_equiv_pos_as_xyz
'x,y,z'
loop_
_atom_site_label
_atom_site_fract_x
_atom_site_fract_y
_atom_site_fract_z
Ce1 0.069 0.931 0.750
Ce2 0.931 0.069 0.250
Er1 0.073 0.566 0.250
Er2 0.434 0.927 0.250
Er3 0.438 0.562 0.750
Er4 0.562 0.438 0.250
Er5 0.566 0.073 0.750
Er6 0.927 0.434 0.750
Ru1 0.231 0.231 0.000
Ru2 0.231 0.231 0.500
Ru3 0.769 0.769 0.000
Ru4 0.769 0.769 0.500
```

Values from the calculation:
Formation enthalpy at 0 K, eV per atom: -0.37
Density of states at the Fermi level, states/eV/f.u.: 6.56


VASP calculation (PBE) on La2YAs after structural relaxation.

CIF file:
```
data_La2YAs
_symmetry_space_group_name_H-M 'P 1'
_symmetry_Int_Tables_number 1
_cell_length_a 6.188
_cell_length_b 6.188
_cell_length_c 6.188
_cell_angle_alpha 135.86
_cell_angle_beta 135.86
_cell_angle_gamma 64.20
loop_
_symmetry_equiv_pos_as_xyz
'x,y,z'
loop_
_atom_site_label
_atom_site_fract_x
_atom_site_fract_y
_atom_site_fract_z
La1 0.250 0.750 0.500
La2 0.750 0.250 0.500
Y1 0.000 0.000 0.000
As1 0.500 0.500 0.000
```

Values from the calculation:
Formation enthalpy at 0 K, eV per atom: -0.40
Density of states at the Fermi level, states/eV/f.u.: 6.72